Pa2Co4Ge3Mo | PBE | relaxed

Structure (CIF):
```
data_Pa2Co4Ge3Mo
_symmetry_space_group_name_H-M 'P -4 m 2'
_symmetry_Int_Tables_number 115
_symmetry_space_group_name_Hall 'P -4 -2'
_cell_length_a 3.9966
_cell_length_b 3.9966
_cell_length_c 9.8821
_cell_angle_alpha 90.00
_cell_angle_beta 90.00
_cell_angle_gamma 90.00
loop_
_atom_site_label
_atom_site_fract_x
_atom_site_fract_y
_atom_site_fract_z
Pa1 0.0000 0.5000 0.2406
Co1 0.0000 0.0000 0.0000
Co2 0.0000 0.5000 0.6338
Co3 0.5000 0.5000 0.0000
Ge1 0.0000 0.5000 0.8704
Ge2 0.5000 0.5000 0.5000
Mo1 0.0000 0.0000 0.5000
```

The value obtained for the formation energy from the elements is -0.482 eV/atom. The total magnetization is 0.24 Bohr magnetons per cell.